Entry 1:
4
Lattice="4.5296 0.0383 -0.0511 3.2982 3.1049 -0.0511 1.1388 0.4573 5.4752" Properties=species:S:1:pos:R:3 comment="PBE TlAsRh2, relaxed" formation_enthalpy_0k_ev_per_atom=-0.064 spacegroup=Cm pbc="T T T"
As 6.7021 2.6912 4.9217
Rh 2.2918 0.9203 1.1247
Rh 1.1378 0.4569 4.9458
Tl 4.4572 1.7898 2.5422

***

Entry 2:
8
Lattice="7.7899 0.0000 0.0000 0.0000 7.7899 0.0000 3.8949 3.8949 5.5352" Properties=species:S:1:pos:R:3 comment="PBE AlCdCl2, relaxed" e_above_lowest_polymorph_mev_per_atom=152 e_form_raw_ev_per_atom=-0.533 spacegroup=I-42d pbc="T T T"
Cl 9.7373 7.7813 4.1514
Al 3.8949 3.8949 0.0000
Cl 3.8863 1.9475 1.3838
Cd 0.0000 0.0000 0.0000
Al 3.8949 7.7899 2.7676
Cd 7.7899 3.8949 2.7676
Cl 5.8424 7.7984 4.1514
Cl 3.9035 5.8424 1.3838

***

Number 1: total magnetic moment 0.0 Bohr magnetons per cell. Number 2: total magnetic moment 0.0 Bohr magnetons per cell.